{"formula": "YSbPb2F", "functional": "PBE", "state": "optimized geometry", "m_tot_mub_per_fu": 0.0, "density_g_cm3": 4.01, "e_form_raw_ev_per_fu": -0.1, "spacegroup": "P4/mmm, No. 123", "dft_energy_ev_per_atom": -3.993, "cell": [[5.110, 0.000, 0.000], [0.000, 5.110, 0.000], [0.000, 0.000, 10.212]], "species": ["Y", "Sb", "Pb", "Pb", "F"], "fractional_positions": [[0.000, 0.000, 0.000], [0.500, 0.500, 0.000], [0.000, 0.500, 0.500], [0.500, 0.000, 0.500], [0.500, 0.500, 0.500]]}